#one
A plane-wave DFT calculation with PBE was carried out for a relaxed Ho4PuN4 crystal.

Unit cell a=6.729 b=6.729 c=6.729 alpha=130.76 beta=130.76 gamma=72.19
Positions (direct):
Ho (0.000, 0.500, 0.500)
Ho (0.221, 0.221, 0.000)
Ho (0.500, 0.000, 0.500)
Ho (0.779, 0.779, 0.000)
Pu (0.500, 0.500, 0.000)
N (0.136, 0.617, 0.000)
N (0.383, 0.383, 0.519)
N (0.617, 0.136, 0.000)
N (0.864, 0.864, 0.481)

Computed properties:
The volume is 170.89 Å³ per cell. The symmetry is I-42m (121). The value obtained for the total magnetization is 5.68 μB per formula unit. For the density of states at the Fermi level, the calculation gives 14.77 states/eV/f.u.

#two
A plane-wave DFT calculation with PBE was carried out for a relaxed Ho4PuN4 crystal.

Unit cell a=6.019 b=6.019 c=6.019 alpha=99.47 beta=99.47 gamma=132.13
Positions (direct):
Ho (0.106, 0.310, 0.417)
Ho (0.310, 0.894, 0.204)
Ho (0.690, 0.106, 0.796)
Ho (0.894, 0.690, 0.583)
Pu (0.500, 0.500, 0.000)
N (0.203, 0.597, 0.800)
N (0.403, 0.203, 0.605)
N (0.597, 0.797, 0.395)
N (0.797, 0.403, 0.200)

Computed properties:
The volume is 147.79 Å³ per cell. The symmetry is I4/m (87). The value obtained for the total magnetization is 5.37 μB per formula unit. For the density of states at the Fermi level, the calculation gives 9.08 states/eV/f.u.

Most stable: #two

#one
A plane-wave DFT calculation with PBE was carried out for a relaxed HoPuN crystal.

Unit cell a=4.250 b=4.250 c=4.250 alpha=60.00 beta=60.00 gamma=60.00
Positions (direct):
Ho (0.000, 0.000, 0.000)
Pu (0.500, 0.500, 0.500)
N (0.250, 0.250, 0.250)

Computed properties:
The volume is 54.29 Å³ per cell. The symmetry is F-43m (216). The value obtained for the total magnetization is 5.80 μB per formula unit. For the density of states at the Fermi level, the calculation gives 6.33 states/eV/f.u.

#two
A plane-wave DFT calculation with PBE was carried out for a relaxed HoPuN crystal.

Unit cell a=4.898 b=4.898 c=4.898 alpha=125.61 beta=125.61 gamma=80.53
Positions (direct):
Ho (0.000, 0.000, 0.000)
Pu (0.445, 0.445, 0.000)
N (0.718, 0.718, 0.000)

Computed properties:
The volume is 74.92 Å³ per cell. The symmetry is I4mm (107). The value obtained for the total magnetization is 6.28 μB per formula unit. For the density of states at the Fermi level, the calculation gives 10.02 states/eV/f.u.

Most stable: #one

#one
A plane-wave DFT calculation with PBE was carried out for a relaxed HoPuN crystal.

Unit cell a=3.422 b=3.422 c=6.101 alpha=90.00 beta=90.00 gamma=120.00
Positions (direct):
Ho (0.000, 0.000, 0.000)
Pu (0.333, 0.667, 0.454)
N (0.667, 0.333, 0.221)

Computed properties:
The volume is 61.88 Å³ per cell. The symmetry is P3m1 (156). The value obtained for the total magnetization is 6.01 μB per formula unit. For the density of states at the Fermi level, the calculation gives 5.11 states/eV/f.u.

#two
A plane-wave DFT calculation with PBE was carried out for a relaxed HoPuN crystal.

Unit cell a=5.744 b=3.287 c=12.139 alpha=90.00 beta=90.00 gamma=90.00
Positions (direct):
Ho (0.162, 0.250, 0.203)
Ho (0.338, 0.750, 0.703)
Ho (0.662, 0.250, 0.297)
Ho (0.838, 0.750, 0.797)
Pu (0.125, 0.250, 0.469)
Pu (0.375, 0.750, 0.969)
Pu (0.625, 0.250, 0.031)
Pu (0.875, 0.750, 0.531)
N (0.046, 0.250, 0.675)
N (0.454, 0.750, 0.175)
N (0.546, 0.250, 0.825)
N (0.954, 0.750, 0.325)

Computed properties:
The volume is 229.17 Å³ per cell. The symmetry is Pnma (62). The value obtained for the total magnetization is 1.23 μB per formula unit. For the density of states at the Fermi level, the calculation gives 3.85 states/eV/f.u.

Most stable: #one

#one
A plane-wave DFT calculation with PBE was carried out for a relaxed HoRe2N4 crystal.

Unit cell a=5.406 b=5.406 c=5.406 alpha=104.41 beta=104.41 gamma=120.14
Positions (direct):
Ho (0.000, 0.000, 0.000)
Re (0.250, 0.750, 0.500)
Re (0.750, 0.250, 0.500)
N (0.118, 0.325, 0.444)
N (0.325, 0.882, 0.207)
N (0.675, 0.118, 0.793)
N (0.882, 0.675, 0.556)

Computed properties:
The volume is 118.40 Å³ per cell. The symmetry is I4/m (87). The value obtained for the total magnetization is 0.00 μB per formula unit. For the density of states at the Fermi level, the calculation gives 2.12 states/eV/f.u.

#two
A plane-wave DFT calculation with PBE was carried out for a relaxed HoRe2N4 crystal.

Unit cell a=5.119 b=5.119 c=10.070 alpha=90.00 beta=90.00 gamma=143.38
Positions (direct):
Ho (0.129, 0.871, 0.750)
Ho (0.871, 0.129, 0.250)
Re (0.387, 0.613, 0.564)
Re (0.387, 0.613, 0.936)
Re (0.613, 0.387, 0.064)
Re (0.613, 0.387, 0.436)
N (0.000, 0.000, 0.000)
N (0.000, 0.000, 0.500)
N (0.261, 0.739, 0.106)
N (0.261, 0.739, 0.394)
N (0.438, 0.562, 0.750)
N (0.562, 0.438, 0.250)
N (0.739, 0.261, 0.606)
N (0.739, 0.261, 0.894)

Computed properties:
The volume is 157.36 Å³ per cell. The symmetry is Cmcm (63). The value obtained for the total magnetization is 0.00 μB per formula unit. For the density of states at the Fermi level, the calculation gives 2.72 states/eV/f.u.

Most stable: #two

#one
A plane-wave DFT calculation with PBE was carried out for a relaxed Ho4Sb2N crystal.

Unit cell a=8.657 b=8.657 c=8.657 alpha=149.18 beta=149.18 gamma=44.15
Positions (direct):
Ho (0.000, 0.500, 0.500)
Ho (0.164, 0.164, 0.000)
Ho (0.500, 0.000, 0.500)
Ho (0.836, 0.836, 0.000)
Sb (0.357, 0.357, 0.000)
Sb (0.643, 0.643, 0.000)
N (0.000, 0.000, 0.000)

Computed properties:
The volume is 169.79 Å³ per cell. The symmetry is I4/mmm (139). The value obtained for the total magnetization is 0.00 μB per formula unit. For the density of states at the Fermi level, the calculation gives 6.22 states/eV/f.u.

#two
A plane-wave DFT calculation with PBE was carried out for a relaxed Ho4Sb2N crystal.

Unit cell a=6.317 b=6.317 c=8.114 alpha=114.18 beta=114.18 gamma=35.17
Positions (direct):
Ho (0.058, 0.058, 0.324)
Ho (0.360, 0.360, 0.949)
Ho (0.640, 0.640, 0.051)
Ho (0.942, 0.942, 0.676)
Sb (0.340, 0.340, 0.321)
Sb (0.660, 0.660, 0.679)
N (0.000, 0.000, 0.000)

Computed properties:
The volume is 168.37 Å³ per cell. The symmetry is C2/m (12). The value obtained for the total magnetization is 0.00 μB per formula unit. For the density of states at the Fermi level, the calculation gives 6.58 states/eV/f.u.

Most stable: #one

#one
A plane-wave DFT calculation with PBE was carried out for a relaxed HoSbN crystal.

Unit cell a=8.831 b=3.860 c=3.860 alpha=88.90 beta=90.00 gamma=90.00
Positions (direct):
Ho (0.128, 0.250, 0.750)
Ho (0.872, 0.750, 0.250)
Sb (0.500, 0.194, 0.194)
Sb (0.500, 0.694, 0.694)
N (0.111, 0.668, 0.168)
N (0.889, 0.168, 0.668)

Computed properties:
The volume is 131.55 Å³ per cell. The symmetry is Aem2 (39). The value obtained for the total magnetization is 0.00 μB per formula unit. For the density of states at the Fermi level, the calculation gives 1.76 states/eV/f.u.

#two
A plane-wave DFT calculation with PBE was carried out for a relaxed HoSbN crystal.

Unit cell a=4.119 b=4.119 c=7.727 alpha=90.00 beta=90.00 gamma=90.00
Positions (direct):
Ho (0.250, 0.250, 0.118)
Ho (0.750, 0.750, 0.882)
Sb (0.250, 0.250, 0.567)
Sb (0.750, 0.750, 0.433)
N (0.250, 0.750, 0.000)
N (0.750, 0.250, 0.000)

Computed properties:
The volume is 131.09 Å³ per cell. The symmetry is P4/nmm (129). The value obtained for the total magnetization is 0.00 μB per formula unit. For the density of states at the Fermi level, the calculation gives 1.45 states/eV/f.u.

Most stable: #two

#one
A plane-wave DFT calculation with PBE was carried out for a relaxed Ho2SeN crystal.

Unit cell a=3.876 b=8.738 c=5.577 alpha=90.00 beta=90.00 gamma=90.00
Positions (direct):
Ho (0.000, 0.079, 0.000)
Ho (0.000, 0.661, 0.856)
Ho (0.500, 0.339, 0.356)
Ho (0.500, 0.921, 0.500)
Se (0.000, 0.346, 0.724)
Se (0.500, 0.654, 0.224)
N (0.000, 0.896, 0.712)
N (0.500, 0.104, 0.212)

Computed properties:
The volume is 188.90 Å³ per cell. The symmetry is Pmn2_1 (31). The value obtained for the total magnetization is 0.31 μB per formula unit. For the density of states at the Fermi level, the calculation gives 2.27 states/eV/f.u.

#two
A plane-wave DFT calculation with PBE was carried out for a relaxed Ho2SeN crystal.

Unit cell a=3.643 b=3.643 c=13.032 alpha=90.00 beta=90.00 gamma=120.00
Positions (direct):
Ho (0.333, 0.667, 0.099)
Ho (0.333, 0.667, 0.401)
Ho (0.667, 0.333, 0.599)
Ho (0.667, 0.333, 0.901)
Se (0.333, 0.667, 0.750)
Se (0.667, 0.333, 0.250)
N (0.000, 0.000, 0.000)
N (0.000, 0.000, 0.500)

Computed properties:
The volume is 149.76 Å³ per cell. The symmetry is P6_3/mmc (194). The value obtained for the total magnetization is 0.00 μB per formula unit. For the density of states at the Fermi level, the calculation gives 1.62 states/eV/f.u.

#three
A plane-wave DFT calculation with PBE was carried out for a relaxed Ho2SeN crystal.

Unit cell a=6.913 b=6.913 c=6.913 alpha=30.43 beta=30.43 gamma=30.43
Positions (direct):
Ho (0.000, 0.000, 0.000)
Ho (0.202, 0.202, 0.202)
Se (0.435, 0.435, 0.435)
N (0.605, 0.605, 0.605)

Computed properties:
The volume is 75.12 Å³ per cell. The symmetry is R3m (160). The value obtained for the total magnetization is 0.00 μB per formula unit. For the density of states at the Fermi level, the calculation gives 2.27 states/eV/f.u.

Most stable: #two

#one
A plane-wave DFT calculation with PBE was carried out for a relaxed Ho4Si2N crystal.

Unit cell a=7.403 b=7.403 c=5.702 alpha=101.36 beta=101.36 gamma=28.61
Positions (direct):
Ho (0.070, 0.070, 0.272)
Ho (0.360, 0.360, 0.160)
Ho (0.640, 0.640, 0.840)
Ho (0.930, 0.930, 0.728)
Si (0.265, 0.265, 0.638)
Si (0.735, 0.735, 0.362)
N (0.500, 0.500, 0.000)

Computed properties:
The volume is 146.52 Å³ per cell. The symmetry is C2/m (12). The value obtained for the total magnetization is 0.00 μB per formula unit. For the density of states at the Fermi level, the calculation gives 3.66 states/eV/f.u.

#two
A plane-wave DFT calculation with PBE was carried out for a relaxed Ho4Si2N crystal.

Unit cell a=8.207 b=8.207 c=8.207 alpha=147.86 beta=147.86 gamma=46.10
Positions (direct):
Ho (0.000, 0.500, 0.500)
Ho (0.170, 0.170, 0.000)
Ho (0.500, 0.000, 0.500)
Ho (0.830, 0.830, 0.000)
Si (0.363, 0.363, 0.000)
Si (0.637, 0.637, 0.000)
N (0.000, 0.000, 0.000)

Computed properties:
The volume is 155.96 Å³ per cell. The symmetry is I4/mmm (139). The value obtained for the total magnetization is 0.00 μB per formula unit. For the density of states at the Fermi level, the calculation gives 4.72 states/eV/f.u.

Most stable: #two